[1]
## BaLiZr2 (PBE)

Data for crystalline BaLiZr2 at its relaxed geometry.

Cell and atoms, written as POSCAR:
```
BaLiZr2
1.0
-2.037 -6.036 -1.678
3.639 -3.335 -4.362
-0.718 2.844 5.898
Zr Ba Li
2 1 1
Direct
0.220 0.720 0.500
0.000 0.000 0.000
0.509 0.509 0.000
0.770 0.270 0.500
```

***

[2]
## BaLiZr (PBE)

Data for crystalline BaLiZr at its relaxed geometry.

Cell and atoms, written as POSCAR:
```
BaLiZr
1.0
-2.939 1.403 -1.161
-0.008 -3.205 1.297
-1.584 3.185 7.862
Ba Li Zr
1 1 1
Direct
0.000 0.000 0.997
0.667 0.333 0.360
0.333 0.667 0.643
```

***

[3]
## Ba2LiZr (PBE)

Data for crystalline Ba2LiZr at its relaxed geometry.

Cell and atoms, written as POSCAR:
```
Ba2LiZr
1.0
6.735 -0.002 0.000
2.701 6.169 0.000
-4.718 -3.083 3.686
Ba Li Zr
2 1 1
Direct
0.000 0.000 0.000
0.250 0.750 0.500
0.500 0.500 0.000
0.750 0.250 0.500
```

***

[4]
## BaLi2Zr (PBE)

Data for crystalline BaLi2Zr at its relaxed geometry.

Cell and atoms, written as POSCAR:
```
BaLi2Zr
1.0
-4.958 -0.580 -1.665
-0.830 -1.158 2.874
-1.802 5.428 3.473
Zr Li Ba
1 2 1
Direct
0.000 0.465 0.444
0.000 0.177 0.020
0.500 0.057 0.269
0.500 0.801 0.766
```

***

[5]
## BaLiZr2 (PBE)

Data for crystalline BaLiZr2 at its relaxed geometry.

Cell and atoms, written as POSCAR:
```
BaLiZr2
1.0
4.280 0.000 0.000
0.000 4.280 0.000
2.140 2.140 11.960
Zr Li Ba
4 2 2
Direct
0.875 0.859 0.750
0.141 0.625 0.250
0.375 0.391 0.750
0.609 0.125 0.250
0.500 0.500 0.000
0.250 0.750 0.500
0.750 0.250 0.500
0.000 0.000 0.000
```

***

[6]
## BaLiZr2 (PBE)

Data for crystalline BaLiZr2 at its relaxed geometry.

Cell and atoms, written as POSCAR:
```
BaLiZr2
1.0
6.349 -0.017 0.000
3.278 5.437 0.000
-4.813 -2.710 3.130
Li Ba Zr
1 1 2
Direct
0.750 0.250 0.500
0.250 0.750 0.500
0.500 0.500 0.000
0.000 0.000 0.000
```

***

[7]
## BaLi2Zr (PBE)

Data for crystalline BaLi2Zr at its relaxed geometry.

Cell and atoms, written as POSCAR:
```
BaLi2Zr
1.0
11.223 -0.012 -0.007
10.721 3.321 -0.007
10.721 1.617 2.901
Li Zr Ba
2 1 1
Direct
0.509 0.509 0.509
0.991 0.991 0.991
0.250 0.250 0.250
0.750 0.750 0.750
```

***

[8]
## Ba2LiZr (PBE)

Data for crystalline Ba2LiZr at its relaxed geometry.

Cell and atoms, written as POSCAR:
```
Ba2LiZr
1.0
4.956 0.000 0.000
0.000 4.956 0.000
2.478 2.478 11.918
Ba Zr Li
4 2 2
Direct
0.875 0.870 0.750
0.130 0.625 0.250
0.620 0.125 0.250
0.375 0.380 0.750
0.000 0.000 0.000
0.750 0.250 0.500
0.500 0.500 0.000
0.250 0.750 0.500
```

***

Final energy for every record listed, in sequence, given in eV/atom: -4.645, -3.592, -2.966, -3.110, -4.561, -4.623, -3.111, -2.737.
Calculated density for every record listed, in sequence, given in g/cm³: 4.8, 4.4, 4.0, 3.7, 5.0, 5.0, 3.7, 4.2.
Relative energy among the computed polymorphs for every record listed, in sequence, given in eV per atom: 0.3017, 0.0167, 0.1902, 0.0879, 0.3863, 0.3240, 0.0866, 0.4188.